--- w ---
First-principles (meta-GGA SCAN) data for a PBEsol-optimized structure of TaOs2W, as listed in Alexandria via LeMat-Bulk.

The space group is P2/m (No. 10) and the conventional cell measures 2.754, 4.227 and 5.422 Å, with angles of 90.00, 104.16 and 90.00 degrees. The inequivalent atoms are Ta at (0.000, 0.000, 0.000), Os at (0.414, 0.500, 0.248) and W at (0.000, 0.000, 0.500).



--- x ---
First-principles (meta-GGA SCAN) data for a PBEsol-optimized structure of TaOs2W, as listed in Alexandria via LeMat-Bulk.

The space group is R-3m (No. 166, hexagonal axes) and the conventional cell measures 2.7971, 2.7971 and 27.0474 Å, with angles of 90.00, 90.00 and 120.00 degrees. The inequivalent atoms are Ta at (0.0000, 0.0000, 0.0000), Os at (0.0000, 0.0000, 0.2477) and W at (0.0000, 0.0000, 0.5000).



Top of the stability list: w, leading by 8.8 kJ/mol of atoms.



--- w ---
First-principles (meta-GGA SCAN) data for a PBEsol-optimized structure of TaZn2Os, as listed in Alexandria via LeMat-Bulk.

The space group is Cmmm (No. 65) and the conventional cell measures 5.176, 8.301 and 2.738 Å, with angles of 90.00, 90.00 and 90.00 degrees. The inequivalent atoms are Ta at (0.000, 0.000, 0.000), Zn at (0.250, 0.250, 0.500) and Os at (0.000, 0.500, 0.000).



--- x ---
First-principles (meta-GGA SCAN) data for a PBEsol-optimized structure of TaZn2Os, as listed in Alexandria via LeMat-Bulk.

The space group is C2/m (No. 12) and the conventional cell measures 9.208, 3.079 and 4.356 Å, with angles of 90.00, 106.09 and 90.00 degrees. The inequivalent atoms are Ta at (0.000, 0.000, 0.000), Zn at (0.243, 0.000, 0.735) and Os at (0.000, 0.500, 0.500).



Top of the stability list: x, leading by 20.1 kJ/mol of atoms.



--- w ---
First-principles (meta-GGA SCAN) data for a PBEsol-optimized structure of Tc3Os, as listed in Alexandria via LeMat-Bulk.

The space group is Imm2 (No. 44) and the conventional cell measures 2.719, 8.674 and 4.725 Å, with angles of 90.00, 90.00 and 90.00 degrees. The inequivalent atoms are Tc at (0.000, 0.000, 0.000), Tc at (0.000, 0.249, 0.669) and Os at (0.000, 0.500, 0.000).



--- x ---
First-principles (meta-GGA SCAN) data for a PBEsol-optimized structure of Tc3Os, as listed in Alexandria via LeMat-Bulk.

The space group is Pnma (No. 62) and the conventional cell measures 4.713, 8.684 and 5.456 Å, with angles of 90.00, 90.00 and 90.00 degrees. The inequivalent atoms are Tc at (0.085, 0.250, 0.125), Tc at (0.247, 0.502, 0.376) and Os at (0.086, 0.250, 0.624).



Top of the stability list: w, leading by 3.8 kJ/mol of atoms.